# BeRhI

A relaxed BeRhI crystal (PBE-GGA, the Alexandria database).

Summary:
The volume comes out at 55.29 Å³ per cell. As for the density of states at the Fermi level: 0.233 states/eV per atom. The calculation puts the energy at -3.8715 eV/atom. The formation energy without anion corrections comes out at 338 meV/atom.

extended XYZ file:
```
3
Lattice="0.0000 3.0236 3.0236 3.0236 0.0000 3.0236 3.0236 3.0236 0.0000" Properties=species:S:1:pos:R:3 pbc="T T T"
I 1.5118 1.5118 1.5118
Be 4.5355 4.5355 4.5355
Rh 3.0236 3.0236 3.0236
```


# BeRhI

A relaxed BeRhI crystal (PBE-GGA, the Alexandria database).

Summary:
The volume comes out at 241.90 Å³ per cell. As for the density of states at the Fermi level: 0.153 states/eV per atom. The calculation puts the energy at -4.2130 eV/atom. The formation energy without anion corrections comes out at -4 meV/atom.

extended XYZ file:
```
12
Lattice="7.2812 0.0000 0.0000 0.0000 3.8401 0.0000 0.0000 0.0000 8.6517" Properties=species:S:1:pos:R:3 pbc="T T T"
I 6.3920 0.9600 2.9586
I 4.5298 2.8800 7.2844
I 0.8892 2.8800 5.6930
I 2.7514 0.9600 1.3672
Be 0.4813 0.9600 8.4117
Be 3.1593 2.8800 4.0858
Be 6.7999 2.8800 0.2400
Be 4.1219 0.9600 4.5658
Rh 2.0185 0.9600 3.8524
Rh 1.6221 2.8800 8.1783
Rh 5.2628 2.8800 4.7992
Rh 5.6591 0.9600 0.4734
```


# BeRhI

A relaxed BeRhI crystal (PBE-GGA, the Alexandria database).

Summary:
The volume comes out at 104.90 Å³ per cell. As for the density of states at the Fermi level: 0.370 states/eV per atom. The calculation puts the energy at -3.4614 eV/atom. The formation energy without anion corrections comes out at 748 meV/atom.

extended XYZ file:
```
6
Lattice="4.0599 -2.3440 0.0000 0.0000 4.6880 0.0000 0.0000 0.0000 5.5116" Properties=species:S:1:pos:R:3 pbc="T T T"
I 1.3533 2.3440 1.3779
I 2.7066 0.0000 4.1337
Be 0.0000 0.0000 0.0000
Be 0.0000 0.0000 2.7558
Rh 1.3533 2.3440 4.1337
Rh 2.7066 0.0000 1.3779
```


Question: What is the energy in the first record?
Answer: -3.8715 eV/atom